! TmCr2SiO6 (PBE+U, relaxed); values from VASP
&SYSTEM
  ibrav = 0, nat = 10, ntyp = 4
/
ATOMIC_SPECIES
O 16.00 O.upf
Tm 168.93 Tm.upf
Cr 52.00 Cr.upf
Si 28.09 Si.upf
CELL_PARAMETERS angstrom
-0.165 -2.748 4.339
4.453 -2.131 1.742
2.443 2.167 4.359
ATOMIC_POSITIONS crystal
O 0.422 0.666 0.767
O 0.542 0.243 0.255
O 0.957 0.572 0.225
O 0.239 0.960 0.233
O 0.683 0.139 0.772
O 0.139 0.407 0.770
Tm 0.810 0.820 0.568
Cr 0.519 0.515 0.444
Cr 0.034 0.015 0.935
Si 0.316 0.324 0.046
! Total magnetic moment in μB per atom: 0.70
! Total energy in eV per cell: -78.68